Entry 1:
Density functional theory data (PBE) for a relaxed structure of CaCrTc2.

* crystal system: monoclinic
* DFT formation energy: 0.31 eV per atom
* space-group type: P2_1/m
* DOS(E_F): 8.66 states/eV per cell
* offset from the most stable computed form: 89 meV/atom
* magnetic moment: 0.0 Bohr magnetons per cell

Lattice parameters (Å, degrees): 3.945 4.231 9.618 90.00 101.78 90.00
Element x y z (fractional)
Cr 0.535 0.750 0.571
Tc 0.049 0.250 0.598
Tc 0.114 0.750 0.729
Cr 0.465 0.250 0.429
Tc 0.886 0.250 0.271
Tc 0.951 0.750 0.402
Ca 0.316 0.750 0.130
Ca 0.684 0.250 0.870

---

Entry 2:
Density functional theory data (PBE) for a relaxed structure of Na3GdCl6.

* crystal system: trigonal
* uncorrected formation energy: -1.99 eV per atom
* space-group type: R-3
* DOS(E_F): 0.00 states/eV per cell
* offset from the most stable computed form: 0 meV/atom
* magnetic moment: 6.9 Bohr magnetons per cell

Lattice parameters (Å, degrees): 7.569 7.569 7.569 56.17 56.17 56.17
Element x y z (fractional)
Cl 0.220 0.626 0.893
Cl 0.626 0.893 0.220
Cl 0.374 0.107 0.780
Cl 0.107 0.780 0.374
Na 0.500 0.500 0.500
Na 0.198 0.198 0.198
Na 0.802 0.802 0.802
Cl 0.780 0.374 0.107
Gd 0.000 0.000 0.000
Cl 0.893 0.220 0.626

---

Entry 3:
Density functional theory data (PBE) for a relaxed structure of SbPb4Au5.

* crystal system: tetragonal
* uncorrected formation energy: 0.03 eV per atom
* space-group type: I4mm
* DOS(E_F): 4.34 states/eV per cell
* magnetic moment: 0.0 Bohr magnetons per cell

Lattice parameters (Å, degrees): 5.355 7.341 7.341 82.36 68.61 68.61
Element x y z (fractional)
Au 0.745 0.381 0.000
Pb 0.794 0.689 0.689
Au 0.126 0.000 0.619
Au 0.655 0.000 0.000
Au 0.745 0.000 0.381
Pb 0.483 0.311 0.689
Pb 0.483 0.689 0.311
Au 0.126 0.619 0.000
Sb 0.160 0.000 0.000
Pb 0.172 0.311 0.311

---

Which of these has the highest DOS(E_F)?
CaCrTc2